[1]
DFT (GGA-PBE) results for a geometry-optimized Cs2KBeP2 structure.

The space group is Ibam (No. 72) and the conventional cell measures 7.258, 20.848 and 7.189 Å, with angles of 90.00, 90.00 and 90.00 degrees. The distinct sites, in fractional coordinates, are Cs at (0.198, 0.144, 0.000), K at (0.000, 0.500, 0.250), Be at (0.000, 0.000, 0.250) and P at (0.138, 0.032, 0.500).

The energy of formation from the pure elements is -0.24 eV per atom. The calculation puts the total magnetic moment at 0.000 Bohr magnetons per cell. As for the crystal system: orthorhombic.

***

[2]
DFT (GGA-PBE) results for a geometry-optimized Cs4K2BeP2 structure.

The space group is C2/m (No. 12) and the conventional cell measures 14.513, 14.935 and 5.639 Å, with angles of 90.00, 109.96 and 90.00 degrees. The distinct sites, in fractional coordinates, are Cs at (0.131, 0.145, 0.451), K at (0.140, 0.500, 0.858), Be at (0.000, 0.000, 0.000) and P at (0.128, 0.000, 0.946).

The energy of formation from the pure elements is -0.19 eV per atom. The calculation puts the total magnetic moment at 0.000 Bohr magnetons per cell. As for the crystal system: monoclinic.

***

[3]
DFT (GGA-PBE) results for a geometry-optimized CsKBePb2 structure.

The space group is P4/mmm (No. 123) and the conventional cell measures 5.241, 5.241 and 6.495 Å, with angles of 90.00, 90.00 and 90.00 degrees. The distinct sites, in fractional coordinates, are Cs at (0.000, 0.000, 0.000), K at (0.500, 0.500, 0.000), Be at (0.000, 0.000, 0.500) and Pb at (0.000, 0.500, 0.500).

The energy of formation from the pure elements is 0.28 eV per atom. The calculation puts the total magnetic moment at 0.000 Bohr magnetons per cell. As for the crystal system: tetragonal.

***

[4]
DFT (GGA-PBE) results for a geometry-optimized Cs4K2BeSb2 structure.

The space group is C2/m (No. 12) and the conventional cell measures 14.412, 11.325 and 6.455 Å, with angles of 90.00, 106.02 and 90.00 degrees. The distinct sites, in fractional coordinates, are Cs at (0.126, 0.201, 0.252), K at (0.128, 0.500, 0.833), Be at (0.000, 0.000, 0.500) and Sb at (0.147, 0.000, 0.759).

The calculation puts the total magnetic moment at 0.026 Bohr magnetons per cell. The raw formation energy comes out at -16 kJ per mole of atoms. As for the crystal system: monoclinic.

***

[5]
DFT (GGA-PBE) results for a geometry-optimized CsKTaBe2 structure.

The space group is P4/mmm (No. 123) and the conventional cell measures 5.372, 5.372 and 5.752 Å, with angles of 90.00, 90.00 and 90.00 degrees. The distinct sites, in fractional coordinates, are Cs at (0.000, 0.000, 0.000), K at (0.000, 0.000, 0.500), Ta at (0.500, 0.500, 0.500) and Be at (0.000, 0.500, 0.000).

The energy of formation from the pure elements is 2.70 eV per atom. The calculation puts the total magnetic moment at 2.924 Bohr magnetons per cell. As for the crystal system: tetragonal.

***

[6]
DFT (GGA-PBE) results for a geometry-optimized CsKBeW2 structure.

The space group is P4/mmm (No. 123) and the conventional cell measures 4.435, 4.435 and 6.470 Å, with angles of 90.00, 90.00 and 90.00 degrees. The distinct sites, in fractional coordinates, are Cs at (0.000, 0.000, 0.000), K at (0.500, 0.500, 0.000), Be at (0.000, 0.000, 0.500) and W at (0.000, 0.500, 0.500).

The energy of formation from the pure elements is 1.81 eV per atom. The calculation puts the total magnetic moment at 0.539 Bohr magnetons per cell. As for the crystal system: tetragonal.

***

[7]
DFT (GGA-PBE) results for a geometry-optimized Cs3LaBe structure.

The space group is Pm-3m (No. 221) and the conventional cell measures 7.567, 7.567 and 7.567 Å, with angles of 90.00, 90.00 and 90.00 degrees. The distinct sites, in fractional coordinates, are Cs at (0.000, 0.000, 0.500), La at (0.000, 0.000, 0.000) and Be at (0.500, 0.500, 0.500).

The energy of formation from the pure elements is 1.29 eV per atom. The calculation puts the total magnetic moment at 4.246 Bohr magnetons per cell. As for the crystal system: cubic.

***

[8]
DFT (GGA-PBE) results for a geometry-optimized CsLa3Be structure.

The space group is Pm-3m (No. 221) and the conventional cell measures 5.826, 5.826 and 5.826 Å, with angles of 90.00, 90.00 and 90.00 degrees. The distinct sites, in fractional coordinates, are Cs at (0.000, 0.000, 0.000), La at (0.000, 0.500, 0.500) and Be at (0.500, 0.500, 0.500).

The energy of formation from the pure elements is 0.49 eV per atom. The calculation puts the total magnetic moment at 0.001 Bohr magnetons per cell. The calculation puts the energy above the most stable polymorph in this dataset at 0.0 meV/atom. As for the crystal system: cubic.

***

[9]
DFT (GGA-PBE) results for a geometry-optimized CsLa2Be structure.

The space group is I-42d (No. 122) and the conventional cell measures 8.799, 8.799 and 7.296 Å, with angles of 90.00, 90.00 and 90.00 degrees. The distinct sites, in fractional coordinates, are Cs at (0.000, 0.000, 0.000), La at (0.192, 0.250, 0.625) and Be at (0.000, 0.000, 0.500).

The energy of formation from the pure elements is 0.72 eV per atom. The calculation puts the total magnetic moment at 0.000 Bohr magnetons per cell. As for the crystal system: tetragonal.

***

[10]
DFT (GGA-PBE) results for a geometry-optimized CsLa3Be structure.

The space group is Pm-3m (No. 221) and the conventional cell measures 5.853, 5.853 and 5.853 Å, with angles of 90.00, 90.00 and 90.00 degrees. The distinct sites, in fractional coordinates, are Cs at (0.000, 0.000, 0.000), La at (0.000, 0.000, 0.500) and Be at (0.500, 0.500, 0.500).

The energy of formation from the pure elements is 1.43 eV per atom. The calculation puts the total magnetic moment at 0.000 Bohr magnetons per cell. The calculation puts the energy above the most stable polymorph in this dataset at 935.4 meV/atom. As for the crystal system: cubic.

***

[11]
DFT (GGA-PBE) results for a geometry-optimized CsLaBe2Ru structure.

The space group is P4/mmm (No. 123) and the conventional cell measures 5.978, 5.978 and 4.866 Å, with angles of 90.00, 90.00 and 90.00 degrees. The distinct sites, in fractional coordinates, are Cs at (0.000, 0.000, 0.000), La at (0.500, 0.500, 0.500), Be at (0.000, 0.500, 0.500) and Ru at (0.500, 0.500, 0.000).

The energy of formation from the pure elements is 1.42 eV per atom. The calculation puts the total magnetic moment at 0.000 Bohr magnetons per cell. As for the crystal system: tetragonal.

***

[12]
DFT (GGA-PBE) results for a geometry-optimized Cs2LaBe2S4 structure.

The space group is C2/m (No. 12) and the conventional cell measures 15.309, 3.832 and 8.527 Å, with angles of 90.00, 112.21 and 90.00 degrees. The distinct sites, in fractional coordinates, are Cs at (0.133, 0.000, 0.048), La at (0.000, 0.000, 0.500), Be at (0.174, 0.500, 0.465), S at (0.041, 0.500, 0.275) and S at (0.207, 0.000, 0.618).

The calculation puts the total magnetic moment at 0.794 Bohr magnetons per cell. The raw formation energy comes out at -117 kJ per mole of atoms. As for the crystal system: monoclinic.

***

[13]
DFT (GGA-PBE) results for a geometry-optimized CsLaScBe2 structure.

The space group is P4/mmm (No. 123) and the conventional cell measures 5.650, 5.650 and 5.658 Å, with angles of 90.00, 90.00 and 90.00 degrees. The distinct sites, in fractional coordinates, are Cs at (0.000, 0.000, 0.000), La at (0.500, 0.500, 0.500), Sc at (0.500, 0.500, 0.000) and Be at (0.000, 0.500, 0.500).

The energy of formation from the pure elements is 1.38 eV per atom. The calculation puts the total magnetic moment at 0.000 Bohr magnetons per cell. As for the crystal system: tetragonal.

***

Number 1: total DFT energy (no corrections) -18.80 eV/f.u.. Number 2: total DFT energy (no corrections) -21.82 eV/f.u.. Number 3: total DFT energy (no corrections) -11.71 eV/f.u.. Number 4: total DFT energy (no corrections) -19.11 eV/f.u.. Number 5: total DFT energy (no corrections) -7.78 eV/f.u.. Number 6: total DFT energy (no corrections) -22.53 eV/f.u.. Number 7: total DFT energy (no corrections) -4.78 eV/f.u.. Number 8: total DFT energy (no corrections) -16.91 eV/f.u.. Number 9: total DFT energy (no corrections) -11.54 eV/f.u.. Number 10: total DFT energy (no corrections) -12.23 eV/f.u.. Number 11: total DFT energy (no corrections) -15.42 eV/f.u.. Number 12: total DFT energy (no corrections) -41.54 eV/f.u.. Number 13: total DFT energy (no corrections) -12.66 eV/f.u..